(1)
# AlCu2Au (PBE-GGA, optimized geometry)
data_AlCu2Au
_cell_length_a 6.101
_cell_length_b 6.101
_cell_length_c 6.101
_cell_angle_alpha 90.00
_cell_angle_beta 90.00
_cell_angle_gamma 90.00
_symmetry_space_group_name_H-M 'F -4 3 m'
_symmetry_Int_Tables_number 216
_symmetry_space_group_name_Hall 'F -4 2 3'
loop_
_atom_site_label
_atom_site_fract_x
_atom_site_fract_y
_atom_site_fract_z
Al1 0.000 0.000 0.000
Cu1 0.000 0.000 0.500
Cu2 0.250 0.250 0.750
Au1 0.250 0.250 0.250
# **Calculated total energy**: -16.0 eV/f.u.
# **DOS(E_F)**: 1.5 states/eV/f.u.

***

(2)
# PmY3Th2 (PBE-GGA, optimized geometry)
data_PmY3Th2
_cell_length_a 6.948
_cell_length_b 17.501
_cell_length_c 6.566
_cell_angle_alpha 90.00
_cell_angle_beta 90.00
_cell_angle_gamma 90.00
_symmetry_space_group_name_H-M 'C m c m'
_symmetry_Int_Tables_number 63
_symmetry_space_group_name_Hall '-C 2c 2'
loop_
_atom_site_label
_atom_site_fract_x
_atom_site_fract_y
_atom_site_fract_z
Pm1 0.000 0.147 0.250
Y1 0.000 0.353 0.750
Y2 0.248 0.324 0.250
Th1 0.248 0.500 0.000
# **E above lowest polymorph**: 95 meV/atom
# **DOS(E_F)**: 8.1 states/eV/f.u.

***

(3)
# AcMgBi2 (PBE-GGA, optimized geometry)
data_AcMgBi2
_cell_length_a 4.748
_cell_length_b 4.748
_cell_length_c 11.576
_cell_angle_alpha 90.00
_cell_angle_beta 90.00
_cell_angle_gamma 90.00
_symmetry_space_group_name_H-M 'P 4/n m m'
_symmetry_Int_Tables_number 129
loop_
_symmetry_equiv_pos_as_xyz
'x,y,z'
'-x,-y,-z'
'-y+1/2,x,z'
'y+1/2,-x,-z'
'-x+1/2,-y+1/2,z'
'x+1/2,y+1/2,-z'
'y,-x+1/2,z'
'-y,x+1/2,-z'
'x+1/2,-y,-z'
'-x+1/2,y,z'
'-y,-x,-z'
'y,x,z'
'-x,y+1/2,-z'
'x,-y+1/2,z'
'y+1/2,x+1/2,-z'
'-y+1/2,-x+1/2,z'
loop_
_atom_site_label
_atom_site_fract_x
_atom_site_fract_y
_atom_site_fract_z
Ac1 0.250 0.250 0.223
Mg1 0.250 0.750 0.500
Bi1 0.250 0.250 0.667
Bi2 0.250 0.750 0.000
# **E above lowest polymorph**: 0 meV/atom
# **DOS(E_F)**: 2.1 states/eV/f.u.

***

(4)
# Be2TlZn (PBE-GGA, optimized geometry)
data_Be2TlZn
_cell_length_a 6.318
_cell_length_b 6.318
_cell_length_c 6.318
_cell_angle_alpha 90.00
_cell_angle_beta 90.00
_cell_angle_gamma 90.00
_symmetry_space_group_name_H-M 'F -4 3 m'
_symmetry_Int_Tables_number 216
_symmetry_space_group_name_Hall 'F -4 2 3'
loop_
_atom_site_label
_atom_site_fract_x
_atom_site_fract_y
_atom_site_fract_z
Be1 0.000 0.000 0.000
Be2 0.250 0.250 0.250
Tl1 0.000 0.000 0.500
Zn1 0.250 0.250 0.750
# **E above lowest polymorph**: 503 meV/atom
# **DOS(E_F)**: 1.0 states/eV/f.u.

***

(5)
# Tl2Pd8S (PBE-GGA, optimized geometry)
data_Tl2Pd8S
_cell_length_a 4.658
_cell_length_b 5.775
_cell_length_c 13.790
_cell_angle_alpha 90.00
_cell_angle_beta 90.00
_cell_angle_gamma 90.00
_symmetry_space_group_name_H-M 'I m m m'
_symmetry_Int_Tables_number 71
_symmetry_space_group_name_Hall '-I 2 2'
loop_
_atom_site_label
_atom_site_fract_x
_atom_site_fract_y
_atom_site_fract_z
Tl1 0.000 0.000 0.183
Pd1 0.000 0.255 0.372
Pd2 0.000 0.258 0.000
Pd3 0.000 0.500 0.191
S1 0.000 0.000 0.500
# **DOS(E_F)**: 5.3 states/eV/f.u.
# **E_form (uncorrected)**: -0.170 eV per atom

***

(6)
# La2SeCl (PBE-GGA, optimized geometry)
data_La2SeCl
_cell_length_a 4.002
_cell_length_b 4.016
_cell_length_c 13.965
_cell_angle_alpha 90.00
_cell_angle_beta 90.00
_cell_angle_gamma 90.00
_symmetry_space_group_name_H-M 'I m m 2'
_symmetry_Int_Tables_number 44
_symmetry_space_group_name_Hall 'I 2 -2'
loop_
_atom_site_label
_atom_site_fract_x
_atom_site_fract_y
_atom_site_fract_z
La1 0.000 0.000 0.000
La2 0.000 0.500 0.246
Se1 0.000 0.500 0.663
Cl1 0.000 0.000 0.415
# **E above lowest polymorph**: 157 meV/atom
# **DOS(E_F)**: 2.7 states/eV/f.u.
# **E_form (uncorrected)**: -1.620 eV per atom

***

(7)
# KAlGe3 (PBE-GGA, optimized geometry)
data_KAlGe3
_cell_length_a 5.052
_cell_length_b 5.052
_cell_length_c 5.052
_cell_angle_alpha 90.00
_cell_angle_beta 90.00
_cell_angle_gamma 90.00
_symmetry_space_group_name_H-M 'P m -3 m'
_symmetry_Int_Tables_number 221
_symmetry_space_group_name_Hall '-P 4 2 3'
loop_
_atom_site_label
_atom_site_fract_x
_atom_site_fract_y
_atom_site_fract_z
K1 0.000 0.000 0.000
Al1 0.500 0.500 0.500
Ge1 0.000 0.500 0.500
# **E above lowest polymorph**: 0 meV/atom
# **DOS(E_F)**: 3.7 states/eV/f.u.

***

(8)
# Mn2TeCl (PBE-GGA, optimized geometry)
data_Mn2TeCl
_cell_length_a 4.0950
_cell_length_b 4.0950
_cell_length_c 18.7256
_cell_angle_alpha 90.00
_cell_angle_beta 90.00
_cell_angle_gamma 120.00
_symmetry_space_group_name_H-M 'R -3 m'
_symmetry_Int_Tables_number 166
_symmetry_space_group_name_Hall '-R 3 2"'
loop_
_atom_site_label
_atom_site_fract_x
_atom_site_fract_y
_atom_site_fract_z
Mn1 0.0000 0.0000 0.2435
Te1 0.0000 0.0000 0.5000
Cl1 0.0000 0.0000 0.0000
# **E above lowest polymorph**: 116 meV/atom
# **DOS(E_F)**: 2.1 states/eV/f.u.
# **E_form (uncorrected)**: -0.037 eV per atom

***

(9)
# LaYPuSc (PBE-GGA, optimized geometry)
data_LaYPuSc
_cell_length_a 7.839
_cell_length_b 7.839
_cell_length_c 7.839
_cell_angle_alpha 90.00
_cell_angle_beta 90.00
_cell_angle_gamma 90.00
_symmetry_space_group_name_H-M 'F -4 3 m'
_symmetry_Int_Tables_number 216
_symmetry_space_group_name_Hall 'F -4 2 3'
loop_
_atom_site_label
_atom_site_fract_x
_atom_site_fract_y
_atom_site_fract_z
La1 0.000 0.000 0.000
Y1 0.000 0.000 0.500
Pu1 0.250 0.250 0.750
Sc1 0.250 0.250 0.250
# **Calculated total energy**: -31.2 eV/f.u.
# **DOS(E_F)**: 12.8 states/eV/f.u.

***

(10)
# Ba2ZrSe (PBE-GGA, optimized geometry)
data_Ba2ZrSe
_cell_length_a 3.868
_cell_length_b 3.945
_cell_length_c 19.797
_cell_angle_alpha 90.00
_cell_angle_beta 90.00
_cell_angle_gamma 90.00
_symmetry_space_group_name_H-M 'I m m m'
_symmetry_Int_Tables_number 71
_symmetry_space_group_name_Hall '-I 2 2'
loop_
_atom_site_label
_atom_site_fract_x
_atom_site_fract_y
_atom_site_fract_z
Ba1 0.000 0.000 0.155
Zr1 0.000 0.500 0.000
Se1 0.000 0.500 0.500
# **DOS(E_F)**: 3.6 states/eV/f.u.
# **E_form (uncorrected)**: -0.407 eV per atom

***

(11)
# KSc2Al (PBE-GGA, optimized geometry)
data_KSc2Al
_cell_length_a 3.595
_cell_length_b 3.585
_cell_length_c 9.203
_cell_angle_alpha 90.00
_cell_angle_beta 90.09
_cell_angle_gamma 90.00
_symmetry_space_group_name_H-M 'P 1 m 1'
_symmetry_Int_Tables_number 6
_symmetry_space_group_name_Hall 'P -2y'
loop_
_atom_site_label
_atom_site_fract_x
_atom_site_fract_y
_atom_site_fract_z
K1 0.000 0.000 0.000
Sc1 0.003 0.000 0.434
Sc2 0.504 0.500 0.636
Al1 0.502 0.500 0.293
# **Calculated total energy**: -16.9 eV/f.u.
# **DOS(E_F)**: 3.4 states/eV/f.u.

***

(12)
# Pm2SmDy7 (PBE-GGA, optimized geometry)
data_Pm2SmDy7
_cell_length_a 18.201
_cell_length_b 5.466
_cell_length_c 7.048
_cell_angle_alpha 90.00
_cell_angle_beta 112.72
_cell_angle_gamma 90.00
_symmetry_space_group_name_H-M 'C 1 2/m 1'
_symmetry_Int_Tables_number 12
_symmetry_space_group_name_Hall '-C 2y'
loop_
_atom_site_label
_atom_site_fract_x
_atom_site_fract_y
_atom_site_fract_z
Pm1 0.199 0.000 0.199
Sm1 0.000 0.000 0.500
Dy1 0.000 0.000 0.000
Dy2 0.107 0.500 0.358
Dy3 0.107 0.500 0.858
Dy4 0.200 0.000 0.700
# **E above lowest polymorph**: 0 meV/atom
# **DOS(E_F)**: 16.9 states/eV/f.u.

***

(13)
# TaSeF3 (PBE-GGA, optimized geometry)
data_TaSeF3
_cell_length_a 4.455
_cell_length_b 4.455
_cell_length_c 4.455
_cell_angle_alpha 90.00
_cell_angle_beta 90.00
_cell_angle_gamma 90.00
_symmetry_space_group_name_H-M 'P m -3 m'
_symmetry_Int_Tables_number 221
_symmetry_space_group_name_Hall '-P 4 2 3'
loop_
_atom_site_label
_atom_site_fract_x
_atom_site_fract_y
_atom_site_fract_z
Ta1 0.000 0.000 0.000
Se1 0.500 0.500 0.500
F1 0.000 0.500 0.500
# **E above lowest polymorph**: 1739 meV/atom
# **DOS(E_F)**: 8.7 states/eV/f.u.
# **E_form (uncorrected)**: 0.269 eV per atom

***

(14)
# PmEr2Cu3 (PBE-GGA, optimized geometry)
data_PmEr2Cu3
_cell_length_a 3.462
_cell_length_b 3.462
_cell_length_c 10.504
_cell_angle_alpha 90.00
_cell_angle_beta 90.00
_cell_angle_gamma 90.00
_symmetry_space_group_name_H-M 'P 4/m m m'
_symmetry_Int_Tables_number 123
_symmetry_space_group_name_Hall '-P 4 2'
loop_
_atom_site_label
_atom_site_fract_x
_atom_site_fract_y
_atom_site_fract_z
Pm1 0.000 0.000 0.000
Er1 0.000 0.000 0.338
Cu1 0.500 0.500 0.181
Cu2 0.500 0.500 0.500
# **Calculated total energy**: -27.6 eV/f.u.
# **DOS(E_F)**: 2.9 states/eV/f.u.

***

(15)
# YBeTc3 (PBE-GGA, optimized geometry)
data_YBeTc3
_cell_length_a 4.328
_cell_length_b 4.328
_cell_length_c 4.328
_cell_angle_alpha 90.00
_cell_angle_beta 90.00
_cell_angle_gamma 90.00
_symmetry_space_group_name_H-M 'P m -3 m'
_symmetry_Int_Tables_number 221
_symmetry_space_group_name_Hall '-P 4 2 3'
loop_
_atom_site_label
_atom_site_fract_x
_atom_site_fract_y
_atom_site_fract_z
Y1 0.000 0.000 0.000
Be1 0.500 0.500 0.500
Tc1 0.000 0.500 0.500
# **E above lowest polymorph**: 0 meV/atom
# **DOS(E_F)**: 7.5 states/eV/f.u.

***

(16)
# CaHfTe3 (PBE-GGA, optimized geometry)
data_CaHfTe3
_cell_length_a 5.589
_cell_length_b 5.589
_cell_length_c 5.589
_cell_angle_alpha 90.00
_cell_angle_beta 90.00
_cell_angle_gamma 90.00
_symmetry_space_group_name_H-M 'P m -3 m'
_symmetry_Int_Tables_number 221
_symmetry_space_group_name_Hall '-P 4 2 3'
loop_
_atom_site_label
_atom_site_fract_x
_atom_site_fract_y
_atom_site_fract_z
Ca1 0.000 0.000 0.000
Hf1 0.500 0.500 0.500
Te1 0.000 0.500 0.500
# **E above lowest polymorph**: 0 meV/atom
# **DOS(E_F)**: 0.8 states/eV/f.u.
# **E_form (uncorrected)**: -0.679 eV per atom

***

(17)
# CsAgPdF6 (PBE-GGA, optimized geometry)
data_CsAgPdF6
_cell_length_a 6.098
_cell_length_b 10.576
_cell_length_c 5.958
_cell_angle_alpha 90.00
_cell_angle_beta 90.06
_cell_angle_gamma 90.00
_symmetry_space_group_name_H-M 'C 1 2 1'
_symmetry_Int_Tables_number 5
_symmetry_space_group_name_Hall 'C 2y'
loop_
_atom_site_label
_atom_site_fract_x
_atom_site_fract_y
_atom_site_fract_z
Cs1 0.000 0.000 0.000
Ag1 0.000 0.333 0.500
Pd1 0.000 0.666 0.500
F1 0.121 0.528 0.316
F2 0.141 0.796 0.316
F3 0.229 0.172 0.322
# **E_form (uncorrected)**: -1.681 eV per atom

***

(18)
# K2YTeSe4 (PBE-GGA, optimized geometry)
data_K2YTeSe4
_cell_length_a 12.199
_cell_length_b 12.202
_cell_length_c 8.557
_cell_angle_alpha 90.00
_cell_angle_beta 129.91
_cell_angle_gamma 90.00
_symmetry_space_group_name_H-M 'C 1 2/c 1'
_symmetry_Int_Tables_number 15
_symmetry_space_group_name_Hall '-C 2yc'
loop_
_atom_site_label
_atom_site_fract_x
_atom_site_fract_y
_atom_site_fract_z
K1 0.000 0.000 0.000
K2 0.250 0.250 0.000
Y1 0.000 0.500 0.000
Te1 0.250 0.250 0.500
Se1 0.027 0.265 0.509
Se2 0.214 0.483 0.448
# **DOS(E_F)**: 1.5 states/eV/f.u.
# **E_form (uncorrected)**: -1.076 eV per atom

***

(19)
# CaGe3Rh5 (PBE-GGA, optimized geometry)
data_CaGe3Rh5
_cell_length_a 4.005
_cell_length_b 12.897
_cell_length_c 12.201
_cell_angle_alpha 90.00
_cell_angle_beta 90.00
_cell_angle_gamma 90.00
_symmetry_space_group_name_H-M 'C m c m'
_symmetry_Int_Tables_number 63
_symmetry_space_group_name_Hall '-C 2c 2'
loop_
_atom_site_label
_atom_site_fract_x
_atom_site_fract_y
_atom_site_fract_z
Ca1 0.000 0.172 0.250
Ge1 0.000 0.115 0.750
Ge2 0.000 0.382 0.550
Rh1 0.000 0.000 0.000
Rh2 0.000 0.199 0.568
Rh3 0.000 0.447 0.142
# **Calculated total energy**: -57.2 eV/f.u.
# **DOS(E_F)**: 7.9 states/eV/f.u.

***

(20)
# YRuPt (PBE-GGA, optimized geometry)
data_YRuPt
_cell_length_a 3.492
_cell_length_b 3.492
_cell_length_c 9.474
_cell_angle_alpha 90.00
_cell_angle_beta 90.00
_cell_angle_gamma 90.00
_symmetry_space_group_name_H-M 'I 4 m m'
_symmetry_Int_Tables_number 107
_symmetry_space_group_name_Hall 'I 4 -2'
loop_
_atom_site_label
_atom_site_fract_x
_atom_site_fract_y
_atom_site_fract_z
Y1 0.000 0.000 0.000
Ru1 0.000 0.000 0.304
Pt1 0.000 0.000 0.691
# **E above lowest polymorph**: 235 meV/atom
# **DOS(E_F)**: 5.3 states/eV/f.u.

***

| no. | spin magnetization (μB/f.u.) |
| --- | --- |
| 1 | 0.000 |
| 2 | 0.000 |
| 3 | 0.000 |
| 4 | 0.000 |
| 5 | 0.000 |
| 6 | 0.906 |
| 7 | 0.000 |
| 8 | 9.067 |
| 9 | 7.483 |
| 10 | 0.000 |
| 11 | 1.029 |
| 12 | 0.000 |
| 13 | 2.993 |
| 14 | 0.000 |
| 15 | 0.001 |
| 16 | 0.000 |
| 17 | 0.138 |
| 18 | 0.000 |
| 19 | 0.000 |
| 20 | 0.002 |